Here is MgOsPb after structural relaxation from Alexandria via LeMat-Bulk. Energies are from GGA-PBEsol.

Results
The calculation puts the offset from the most stable computed form at 0.1226 eV per atom. For the calculated volume, the calculation gives 238.1 Å³ per cell. Its formation enthalpy at 0 K is 0.68 eV per atom. For the density, the calculation gives 11.76 Mg/m³. Its density of states at the Fermi level is 0.82 states/eV/atom.

abc: 3.292 5.072 14.262
angles: 90.00 90.00 90.00
Space group Fmm2 (No. 42)
Unique sites:
Mg 0.000 0.000 0.000
Os 0.000 0.000 0.641
Pb 0.000 0.000 0.300